Version w
DFT (PBE-GGA) results for a relaxed YBrOF2 crystal.

The space group is P4/mmm (No. 123) and the conventional cell measures 4.972, 4.972 and 3.723 Å, with angles of 90.00, 90.00 and 90.00 degrees. The asymmetric unit holds Y at (0.000, 0.000, 0.000), Br at (0.500, 0.500, 0.500), O at (0.500, 0.500, 0.000) and F at (0.000, 0.500, 0.500).

For the total magnetization, the calculation gives 0.00 μB per cell. The density of states at the Fermi level is 0.37 states/eV per atom.

=====

Version x
DFT (PBE-GGA) results for a relaxed YBrOF2 crystal.

The space group is P4/mmm (No. 123) and the conventional cell measures 4.309, 4.309 and 4.796 Å, with angles of 90.00, 90.00 and 90.00 degrees. The asymmetric unit holds Y at (0.000, 0.000, 0.000), Br at (0.500, 0.500, 0.500), O at (0.000, 0.000, 0.500) and F at (0.000, 0.500, 0.000).

For the total magnetization, the calculation gives 0.00 μB per cell. The density of states at the Fermi level is 0.65 states/eV per atom.

=====

version x comes first in stability; the runner-up is 140.5 kJ/mol of atoms higher.